1.
VASP calculation (PBE-GGA) on an optimized crystal structure of Hf6Te2S.

Computed properties:
Formation energy from raw total energies = -492.3 meV/atom
E = -8.28 eV per atom
Total moment = 0.0 μB per formula unit

Unit cell a=5.9275 b=6.9396 c=9.3330 alpha=90.00 beta=91.64 gamma=90.00
Last column: nearest neighbours and their distance in Å.
Fractional coordinates of all 18 atoms:
Hf1 0.8750 0.9845 0.2417  1 S 2.50
Hf2 0.8433 0.6660 0.5391  1 S 2.53
Hf3 0.8651 0.7116 0.9533  1 S 2.66, 3 Te 2.86-2.97
Hf4 0.6349 0.2116 0.5467  1 S 2.66, 3 Te 2.86-2.97
Hf5 0.6567 0.1660 0.9609  1 S 2.53
Hf6 0.6250 0.4845 0.2583  1 S 2.50
Hf7 0.1250 0.0155 0.7583  1 S 2.50
Hf8 0.1567 0.3340 0.4609  1 S 2.53
Hf9 0.1349 0.2884 0.0467  1 S 2.66, 3 Te 2.86-2.97
Hf10 0.3651 0.7884 0.4533  1 S 2.66, 3 Te 2.86-2.97
Hf11 0.3433 0.8340 0.0391  1 S 2.53
Hf12 0.3750 0.5155 0.7417  1 S 2.50
Te1 0.9190 0.3898 0.7652  7 Hf 2.85-2.97
Te2 0.5810 0.8898 0.7348  7 Hf 2.85-2.97
Te3 0.4190 0.1102 0.2652  7 Hf 2.85-2.97
Te4 0.0810 0.6102 0.2348  7 Hf 2.85-2.97
S1 0.5000 0.5000 0.0000  6 Hf 2.50-2.66
S2 0.0000 0.0000 0.5000  6 Hf 2.50-2.66

=====

2.
VASP calculation (PBE-GGA) on an optimized crystal structure of Pm4Nd3Y3.

Computed properties:
E_form = 0.095 eV/atom
E = -5.18 eV per atom
Total moment = 0.0 μB per formula unit

Unit cell a=3.8073 b=9.5045 c=9.5045 alpha=90.50 beta=90.00 gamma=90.00
Last column: nearest neighbours and their distance in Å.
Fractional coordinates of all 10 atoms:
Pm1 0.0000 0.6310 0.3690  6 Nd 3.29-3.45, 1 Pm 3.53
Pm2 0.0000 0.3698 0.6302  4 Y 3.30-3.68, 4 Nd 3.45, 1 Pm 3.53
Pm3 0.0000 0.8708 0.8700  4 Nd 3.29-3.45, 2 Y 3.45, 1 Pm 3.47
Pm4 0.0000 0.1300 0.1292  4 Nd 3.29-3.45, 2 Y 3.45, 1 Pm 3.47
Nd1 0.5000 0.8302 0.1698  6 Pm 3.29-3.45
Nd2 0.5000 0.3300 0.3303  6 Pm 3.29-3.45
Nd3 0.5000 0.6697 0.6700  6 Pm 3.29-3.45
Y1 0.0000 0.4954 0.9974  4 Pm 3.68-3.78, 4 Y 3.81-3.95, 6 Nd 4.02-4.04
Y2 0.0000 0.0026 0.5046  4 Pm 3.68-3.78, 4 Y 3.81-3.95, 6 Nd 4.02-4.04
Y3 0.5000 0.1704 0.8296  6 Pm 3.30-3.45

=====

3.
VASP calculation (PBE-GGA) on an optimized crystal structure of AcPrNdTm.

Computed properties:
E_form = 0.167 eV/atom
E = -4.36 eV per atom
Total moment = 0.9 μB per formula unit

Unit cell a=5.9263 b=5.9263 c=5.9263 alpha=60.00 beta=60.00 gamma=60.00
Last column: nearest neighbours and their distance in Å.
Fractional coordinates of all 4 atoms:
Pr1 0.7500 0.7500 0.7500  4 Ac 3.63, 4 Tm 3.63
Ac1 0.5000 0.5000 0.5000  4 Pr 3.63, 4 Nd 3.63
Tm1 0.0000 0.0000 0.0000  4 Pr 3.63, 4 Nd 3.63
Nd1 0.2500 0.2500 0.2500  4 Ac 3.63, 4 Tm 3.63